# BaPbSe3

A relaxed BaPbSe3 crystal (GGA-PBEsol, the Alexandria database).

Calculated values
As for the density of states at the Fermi level: 3.7 states/eV/f.u. The volume comes out at 31.65 Å³/atom. The space group is Pm-3m, No. 221. As for the formation energy (no corrections): -0.678 eV per atom. Its raw total energy is -4.22 eV/atom. The crystal system is cubic. Its theoretical density is 6.1 g/cm³.

a b c (Å): 5.4089 5.4089 5.4089
angles (deg): 90.00 90.00 90.00
Positions (direct):
Ba 0.0000 0.0000 0.0000
Pb 0.5000 0.5000 0.5000
Se 0.0000 0.5000 0.5000
Se 0.5000 0.0000 0.5000
Se 0.5000 0.5000 0.0000


# TaMo

A relaxed TaMo crystal (GGA-PBEsol, the Alexandria database).

Calculated values
As for the density of states at the Fermi level: 1.4 states/eV/f.u. The volume comes out at 16.31 Å³/atom. The space group is Pmma, No. 51. Its raw total energy is -12.28 eV/atom. The crystal system is orthorhombic. As for the formation energy: -0.2 eV per formula unit. Its theoretical density is 14.1 g/cm³.

a b c (Å): 6.3730 3.1919 6.4137
angles (deg): 90.00 90.00 90.00
Positions (direct):
Ta 0.0000 0.0000 0.0000
Ta 0.2500 0.5000 0.2620
Ta 0.5000 0.0000 0.0000
Ta 0.7500 0.5000 0.7380
Mo 0.0000 0.0000 0.5000
Mo 0.2500 0.5000 0.7484
Mo 0.5000 0.0000 0.5000
Mo 0.7500 0.5000 0.2516


# BeCdRe2

A relaxed BeCdRe2 crystal (GGA-PBEsol, the Alexandria database).

Calculated values
As for the density of states at the Fermi level: 2.2 states/eV/f.u. The volume comes out at 14.22 Å³/atom. The space group is Immm, No. 71. Its raw total energy is -7.57 eV/atom. The crystal system is orthorhombic. For the polymorph energy (0 for the lowest one), the calculation gives 18 meV per atom. As for the formation energy: 1.6 eV per formula unit. Its theoretical density is 14.4 g/cm³.

a b c (Å): 2.7392 4.3824 9.4794
angles (deg): 90.00 90.00 90.00
Positions (direct):
Be 0.0000 0.0000 0.0000
Be 0.5000 0.5000 0.5000
Cd 0.0000 0.0000 0.5000
Cd 0.5000 0.5000 0.0000
Re 0.0000 0.5000 0.2905
Re 0.0000 0.5000 0.7095
Re 0.5000 0.0000 0.2095
Re 0.5000 0.0000 0.7905


# TaMnSe2Br

A relaxed TaMnSe2Br crystal (GGA-PBEsol, the Alexandria database).

Calculated values
As for the density of states at the Fermi level: 4.6 states/eV/f.u. The volume comes out at 21.05 Å³/atom. The space group is P4/mmm, No. 123. As for the formation energy (no corrections): 0.718 eV per atom. Its raw total energy is -5.66 eV/atom. The crystal system is tetragonal. Its theoretical density is 7.5 g/cm³.

a b c (Å): 4.7530 4.7530 4.6593
angles (deg): 90.00 90.00 90.00
Positions (direct):
Ta 0.0000 0.0000 0.0000
Mn 0.5000 0.5000 0.5000
Se 0.0000 0.5000 0.5000
Se 0.5000 0.0000 0.5000
Br 0.5000 0.5000 0.0000


# BiPd3Rh

A relaxed BiPd3Rh crystal (GGA-PBEsol, the Alexandria database).

Calculated values
As for the density of states at the Fermi level: 9.8 states/eV/f.u. The volume comes out at 23.43 Å³/atom. The space group is Pm-3m, No. 221. Its raw total energy is -4.69 eV/atom. The crystal system is cubic. As for the formation energy: 6.9 eV per formula unit. Its theoretical density is 8.9 g/cm³.

a b c (Å): 4.8933 4.8933 4.8933
angles (deg): 90.00 90.00 90.00
Positions (direct):
Bi 0.0000 0.0000 0.0000
Pd 0.0000 0.0000 0.5000
Pd 0.0000 0.5000 0.0000
Pd 0.5000 0.0000 0.0000
Rh 0.5000 0.5000 0.5000


# RbAlGaIr2

A relaxed RbAlGaIr2 crystal (GGA-PBEsol, the Alexandria database).

Calculated values
As for the density of states at the Fermi level: 4.4 states/eV/f.u. The volume comes out at 23.12 Å³/atom. The space group is P4/mmm, No. 123. Its raw total energy is -4.51 eV/atom. The crystal system is tetragonal. As for the formation energy: 5.6 eV per formula unit. Its theoretical density is 8.1 g/cm³.

a b c (Å): 4.5876 4.5876 5.4931
angles (deg): 90.00 90.00 90.00
Positions (direct):
Rb 0.0000 0.0000 0.0000
Al 0.0000 0.0000 0.5000
Ga 0.5000 0.5000 0.0000
Ir 0.0000 0.5000 0.5000
Ir 0.5000 0.0000 0.5000


# Ba4Sn9Bi3

A relaxed Ba4Sn9Bi3 crystal (GGA-PBEsol, the Alexandria database).

Calculated values
As for the density of states at the Fermi level: 7.2 states/eV/f.u. The volume comes out at 31.28 Å³/atom. The space group is P6_3/mmc, No. 194. Its raw total energy is -4.25 eV/atom. The crystal system is hexagonal. As for the formation energy: -8.3 eV per formula unit. Its theoretical density is 7.4 g/cm³.

a b c (Å): 7.2284 7.2284 22.1229
angles (deg): 90.00 90.00 120.00
Positions (direct):
Ba 0.0000 0.0000 0.0000
Ba 0.0000 0.0000 0.2500
Ba 0.0000 0.0000 0.5000
Ba 0.0000 0.0000 0.7500
Ba 0.3333 0.6667 0.1347
Ba 0.3333 0.6667 0.3653
Ba 0.6667 0.3333 0.6347
Ba 0.6667 0.3333 0.8653
Sn 0.0560 0.5280 0.7500
Sn 0.1931 0.3862 0.6250
Sn 0.1931 0.3862 0.8750
Sn 0.1931 0.8069 0.6250
Sn 0.1931 0.8069 0.8750
Sn 0.3862 0.1931 0.1250
Sn 0.3862 0.1931 0.3750
Sn 0.4720 0.5280 0.7500
Sn 0.4720 0.9440 0.7500
Sn 0.5280 0.0560 0.2500
Sn 0.5280 0.4720 0.2500
Sn 0.6138 0.8069 0.6250
Sn 0.6138 0.8069 0.8750
Sn 0.8069 0.1931 0.1250
Sn 0.8069 0.1931 0.3750
Sn 0.8069 0.6138 0.1250
Sn 0.8069 0.6138 0.3750
Sn 0.9440 0.4720 0.2500
Bi 0.0000 0.5000 0.0000
Bi 0.0000 0.5000 0.5000
Bi 0.5000 0.0000 0.0000
Bi 0.5000 0.0000 0.5000
Bi 0.5000 0.5000 0.0000
Bi 0.5000 0.5000 0.5000


# Hf3TiV8

A relaxed Hf3TiV8 crystal (GGA-PBEsol, the Alexandria database).

Calculated values
As for the density of states at the Fermi level: 28.4 states/eV/f.u. The volume comes out at 15.32 Å³/atom. The space group is R3m, No. 160. Its raw total energy is -9.69 eV/atom. The crystal system is trigonal. As for the formation energy: 0.6 eV per formula unit. Its theoretical density is 8.9 g/cm³.

a b c (Å): 8.7768 8.7768 8.7768
angles (deg): 33.54 33.54 33.54
Positions (direct):
Hf 0.0000 0.0000 0.0000
Hf 0.1259 0.1259 0.1259
Hf 0.6232 0.6232 0.6232
Ti 0.4991 0.4991 0.4991
V 0.0612 0.0612 0.5580
V 0.0612 0.5580 0.0612
V 0.0671 0.5630 0.5630
V 0.3110 0.3110 0.3110
V 0.5580 0.0612 0.0612
V 0.5630 0.0671 0.5630
V 0.5630 0.5630 0.0671
V 0.8130 0.8130 0.8130


# Eu2Nb5O9

A relaxed Eu2Nb5O9 crystal (GGA-PBEsol, the Alexandria database).

Calculated values
As for the density of states at the Fermi level: 23.6 states/eV/f.u. The volume comes out at 12.93 Å³/atom. The space group is P4/mmm, No. 123. As for the formation energy (no corrections): -2.486 eV per atom. Its raw total energy is -10.14 eV/atom. The crystal system is tetragonal. Its theoretical density is 7.3 g/cm³.

a b c (Å): 4.1508 4.1508 12.0094
angles (deg): 90.00 90.00 90.00
Positions (direct):
Eu 0.0000 0.0000 0.1710
Eu 0.0000 0.0000 0.8290
Nb 0.0000 0.5000 0.5000
Nb 0.5000 0.0000 0.5000
Nb 0.5000 0.5000 0.0000
Nb 0.5000 0.5000 0.3346
Nb 0.5000 0.5000 0.6654
O 0.0000 0.0000 0.5000
O 0.0000 0.5000 0.0000
O 0.0000 0.5000 0.3209
O 0.0000 0.5000 0.6791
O 0.5000 0.0000 0.0000
O 0.5000 0.0000 0.3209
O 0.5000 0.0000 0.6791
O 0.5000 0.5000 0.1630
O 0.5000 0.5000 0.8370


# ZnCuAu2

A relaxed ZnCuAu2 crystal (GGA-PBEsol, the Alexandria database).

Calculated values
As for the density of states at the Fermi level: 1.0 states/eV/f.u. The volume comes out at 14.73 Å³/atom. The space group is P4mm, No. 99. Its raw total energy is -3.55 eV/atom. The crystal system is tetragonal. As for the formation energy: -0.4 eV per formula unit. Its theoretical density is 14.7 g/cm³.

a b c (Å): 3.0919 3.0919 6.1627
angles (deg): 90.00 90.00 90.00
Positions (direct):
Zn 0.0000 0.0000 0.0000
Cu 0.5000 0.5000 0.7920
Au 0.0000 0.0000 0.5528
Au 0.5000 0.5000 0.2463


# HgSbPbI2

A relaxed HgSbPbI2 crystal (GGA-PBEsol, the Alexandria database).

Calculated values
As for the density of states at the Fermi level: 3.3 states/eV/f.u. The volume comes out at 43.21 Å³/atom. The space group is P4/mmm, No. 123. As for the formation energy (no corrections): 0.359 eV per atom. Its raw total energy is -2.17 eV/atom. The crystal system is tetragonal. Its theoretical density is 6.0 g/cm³.

a b c (Å): 6.1277 6.1277 5.7544
angles (deg): 90.00 90.00 90.00
Positions (direct):
Hg 0.0000 0.0000 0.0000
Sb 0.5000 0.5000 0.0000
Pb 0.0000 0.0000 0.5000
I 0.0000 0.5000 0.5000
I 0.5000 0.0000 0.5000


# Ce2Mo2C3

A relaxed Ce2Mo2C3 crystal (GGA-PBEsol, the Alexandria database).

Calculated values
As for the density of states at the Fermi level: 5.1 states/eV/f.u. The volume comes out at 14.66 Å³/atom. The space group is C2/m, No. 12. Its raw total energy is -9.70 eV/atom. The crystal system is monoclinic. As for the formation energy: -2.2 eV per formula unit. Its theoretical density is 8.2 g/cm³.

a b c (Å): 12.0796 3.2936 5.6993
angles (deg): 90.00 115.12 90.00
Positions (direct):
Ce 0.1029 0.0000 0.3009
Ce 0.3971 0.5000 0.6991
Ce 0.6029 0.5000 0.3009
Ce 0.8971 0.0000 0.6991
Mo 0.1588 0.5000 0.8246
Mo 0.3412 0.0000 0.1754
Mo 0.6588 0.0000 0.8246
Mo 0.8412 0.5000 0.1754
C 0.0000 0.5000 0.5000
C 0.2482 0.0000 0.7586
C 0.2518 0.5000 0.2414
C 0.5000 0.0000 0.5000
C 0.7482 0.5000 0.7586
C 0.7518 0.0000 0.2414


# Li2AgAu2

A relaxed Li2AgAu2 crystal (GGA-PBEsol, the Alexandria database).

Calculated values
As for the density of states at the Fermi level: 1.1 states/eV/f.u. The volume comes out at 16.87 Å³/atom. The space group is I4/mmm, No. 139. Its raw total energy is -3.14 eV/atom. The crystal system is tetragonal. For the polymorph energy (0 for the lowest one), the calculation gives 205 meV per atom. As for the formation energy: -0.6 eV per formula unit. Its theoretical density is 10.2 g/cm³.

a b c (Å): 3.6601 3.6601 12.5897
angles (deg): 90.00 90.00 90.00
Positions (direct):
Li 0.0000 0.5000 0.2500
Li 0.0000 0.5000 0.7500
Li 0.5000 0.0000 0.2500
Li 0.5000 0.0000 0.7500
Ag 0.0000 0.0000 0.0000
Ag 0.5000 0.5000 0.5000
Au 0.0000 0.0000 0.3935
Au 0.0000 0.0000 0.6065
Au 0.5000 0.5000 0.1065
Au 0.5000 0.5000 0.8935